First-principles (PBE-GGA) data for an optimized crystal structure of Pm5Cd3, as listed in the Alexandria database.

The value obtained for the spin magnetization is 0.93 μB/f.u. Its space group is No. 123. For the density, the calculation gives 7.4 Mg/m³. For the formation energy, the calculation gives -1.81 eV per formula unit.

abc: 3.779 3.779 16.701
angles: 90.00 90.00 90.00
Each line ends with the local moment (μB).
Fractional coordinates of all 8 atoms:
Pm1 0.000 0.000 0.766  0.07
Pm2 0.000 0.000 0.000  0.19
Pm3 0.500 0.500 0.618  0.07
Pm4 0.500 0.500 0.382  0.07
Pm5 0.000 0.000 0.234  0.07
Cd1 0.500 0.500 0.882  0.01
Cd2 0.000 0.000 0.500  -0.01
Cd3 0.500 0.500 0.118  0.01


First-principles (PBE-GGA) data for an optimized crystal structure of AlNiTe2, as listed in the Alexandria database.

The value obtained for the spin magnetization is 0.00 μB/f.u. Its space group is No. 12. For the density, the calculation gives 6.6 Mg/m³. As for the raw formation energy: -0.128 eV per atom.

abc: 3.929 3.929 6.809
angles: 73.31 73.31 60.04
Fractional coordinates of all 4 atoms:
Te1 0.507 0.507 0.476
Te2 0.993 0.993 0.024
Al1 0.750 0.750 0.750
Ni1 0.250 0.250 0.250


First-principles (PBE-GGA) data for an optimized crystal structure of NaCaPmAu, as listed in the Alexandria database.

The value obtained for the spin magnetization is 0.00 μB/f.u. Its space group is No. 216. For the density, the calculation gives 6.3 Mg/m³. For the formation energy, the calculation gives -1.02 eV per formula unit.

abc: 5.338 5.338 5.338
angles: 60.00 60.00 60.00
Fractional coordinates of all 4 atoms:
Au1 0.500 0.500 0.500
Pm1 0.250 0.250 0.250
Ca1 0.750 0.750 0.750
Na1 0.000 0.000 0.000


First-principles (PBE-GGA) data for an optimized crystal structure of BaNaFeSb2, as listed in the Alexandria database.

The value obtained for the spin magnetization is 4.08 μB/f.u. Its space group is No. 123. For the density, the calculation gives 3.2 Mg/m³. As for the raw formation energy: 1.028 eV per atom.

abc: 6.321 5.993 6.321
angles: 90.00 90.00 90.00
Each line ends with the local moment (μB).
Fractional coordinates of all 5 atoms:
Sb1 0.000 0.000 0.500  -0.11
Sb2 0.500 0.000 0.000  -0.09
Ba1 0.000 0.000 0.000  0.01
Fe1 0.000 0.500 0.000  -3.29
Na1 0.500 0.500 0.500  0.00


First-principles (PBE-GGA) data for an optimized crystal structure of Ho2GaP, as listed in the Alexandria database.

The value obtained for the spin magnetization is 0.00 μB/f.u. Its space group is No. 63. For the density, the calculation gives 7.7 Mg/m³. For the formation energy, the calculation gives -4.45 eV per formula unit.

abc: 4.073 4.011 11.502
angles: 100.04 90.00 90.00
Fractional coordinates of all 8 atoms:
P1 0.750 0.811 0.622
P2 0.250 0.189 0.378
Ga1 0.250 0.463 0.926
Ga2 0.750 0.537 0.074
Ho1 0.750 0.689 0.377
Ho2 0.250 0.070 0.140
Ho3 0.750 0.930 0.860
Ho4 0.250 0.311 0.623


First-principles (PBE-GGA) data for an optimized crystal structure of TbCoSb3, as listed in the Alexandria database.

The value obtained for the spin magnetization is 0.16 μB/f.u. Its space group is No. 57. For the density, the calculation gives 8.5 Mg/m³. As for the raw formation energy: -0.505 eV per atom.

abc: 5.969 6.128 12.478
angles: 90.00 90.00 90.00
Each line ends with the local moment (μB).
Fractional coordinates of all 20 atoms:
Tb1 0.250 0.502 0.304  0.00
Tb2 0.750 0.498 0.696  0.00
Tb3 0.750 0.998 0.304  0.00
Tb4 0.250 0.002 0.696  0.00
Sb1 0.250 0.593 0.055  0.00
Sb2 0.250 0.498 0.779  0.00
Sb3 0.500 0.250 0.498  0.00
Sb4 0.750 0.002 0.779  0.00
Sb5 0.750 0.907 0.055  0.00
Sb6 0.250 0.093 0.945  0.00
Sb7 0.500 0.750 0.502  0.00
Sb8 0.750 0.502 0.221  0.00
Sb9 0.000 0.750 0.502  0.00
Sb10 0.250 0.998 0.221  0.00
Sb11 0.750 0.407 0.945  0.00
Sb12 0.000 0.250 0.498  0.00
Co1 0.000 0.250 0.098  0.16
Co2 0.500 0.250 0.098  0.16
Co3 0.000 0.750 0.902  0.16
Co4 0.500 0.750 0.902  0.16


First-principles (PBE-GGA) data for an optimized crystal structure of LiZrP4, as listed in the Alexandria database.

The value obtained for the spin magnetization is 0.00 μB/f.u. Its space group is No. 216. For the density, the calculation gives 3.9 Mg/m³. For the formation energy, the calculation gives 0.13 eV per formula unit.

abc: 5.093 5.093 5.093
angles: 60.00 60.00 60.00
Fractional coordinates of all 6 atoms:
P1 0.374 0.374 0.879
P2 0.879 0.374 0.374
P3 0.374 0.879 0.374
P4 0.374 0.374 0.374
Zr1 0.750 0.750 0.750
Li1 0.000 0.000 0.000


First-principles (PBE-GGA) data for an optimized crystal structure of GaIrPd2, as listed in the Alexandria database.

The value obtained for the spin magnetization is 0.00 μB/f.u. Its space group is No. 122. For the density, the calculation gives 12.2 Mg/m³. For the formation energy, the calculation gives 0.37 eV per formula unit.

abc: 3.724 3.724 9.700
angles: 78.93 78.93 90.00
Fractional coordinates of all 8 atoms:
Ir1 0.000 0.000 0.000
Ir2 0.750 0.250 0.500
Pd1 0.124 0.625 0.250
Pd2 0.626 0.125 0.250
Pd3 0.375 0.374 0.750
Pd4 0.875 0.876 0.750
Ga1 0.500 0.500 0.000
Ga2 0.250 0.750 0.500


First-principles (PBE-GGA) data for an optimized crystal structure of Ca2CoAs, as listed in the Alexandria database.

The value obtained for the spin magnetization is 1.05 μB/f.u. Its space group is No. 122. For the density, the calculation gives 3.8 Mg/m³. For the formation energy, the calculation gives 0.22 eV per formula unit.

abc: 7.754 7.754 6.314
angles: 52.12 52.12 90.00
Each line ends with the local moment (μB).
Fractional coordinates of all 8 atoms:
Ca1 0.375 0.386 0.750  -0.05
Ca2 0.136 0.625 0.250  -0.05
Ca3 0.875 0.864 0.750  -0.05
Ca4 0.614 0.125 0.250  -0.05
Co1 0.500 0.500 0.000  1.35
Co2 0.250 0.750 0.500  1.37
As1 0.750 0.250 0.500  -0.01
As2 0.000 0.000 0.000  -0.01


First-principles (PBE-GGA) data for an optimized crystal structure of Na2Sn6Pb, as listed in the Alexandria database.

The value obtained for the spin magnetization is 0.00 μB/f.u. Its space group is No. 12. For the density, the calculation gives 6.4 Mg/m³. For the formation energy, the calculation gives -0.71 eV per formula unit.

abc: 3.256 9.400 9.400
angles: 60.14 89.83 89.83
Fractional coordinates of all 9 atoms:
Sn1 0.497 0.333 0.000
Sn2 0.497 0.000 0.333
Sn3 0.503 0.667 0.000
Sn4 0.500 0.666 0.334
Sn5 0.503 0.000 0.667
Sn6 0.500 0.334 0.666
Na1 0.000 0.333 0.333
Na2 0.000 0.667 0.667
Pb1 0.000 0.000 0.000


First-principles (PBE-GGA) data for an optimized crystal structure of K4RbAu4, as listed in the Alexandria database.

The value obtained for the spin magnetization is 0.00 μB/f.u. Its space group is No. 86. For the density, the calculation gives 4.8 Mg/m³. For the formation energy, the calculation gives -2.21 eV per formula unit.

abc: 9.603 8.592 8.592
angles: 90.00 90.00 90.00
Fractional coordinates of all 18 atoms:
Au1 0.772 0.249 0.582
Au2 0.772 0.751 0.418
Au3 0.272 0.918 0.749
Au4 0.728 0.749 0.082
Au5 0.728 0.251 0.918
Au6 0.272 0.082 0.251
Au7 0.228 0.582 0.751
Au8 0.228 0.418 0.249
K1 0.122 0.230 0.569
K2 0.622 0.069 0.270
K3 0.378 0.730 0.069
K4 0.878 0.431 0.230
K5 0.122 0.770 0.431
K6 0.878 0.569 0.770
K7 0.378 0.270 0.931
K8 0.622 0.931 0.730
Rb1 0.500 0.500 0.500
Rb2 0.000 0.000 0.000


First-principles (PBE-GGA) data for an optimized crystal structure of SrCe3Nd2Se6, as listed in the Alexandria database.

The value obtained for the spin magnetization is 3.43 μB/f.u. Its space group is No. 12. For the density, the calculation gives 6.5 Mg/m³. As for the raw formation energy: -1.843 eV per atom.

abc: 4.231 8.550 9.527
angles: 103.38 102.83 90.00
Each line ends with the local moment (μB).
Fractional coordinates of all 12 atoms:
Se1 0.001 0.255 0.002  -0.01
Se2 0.999 0.745 0.998  -0.01
Se3 0.335 0.416 0.670  -0.01
Se4 0.665 0.584 0.330  -0.01
Se5 0.332 0.917 0.663  -0.01
Se6 0.668 0.083 0.337  -0.01
Ce1 0.833 0.169 0.666  0.94
Ce2 0.167 0.831 0.334  0.94
Ce3 0.500 0.500 0.000  0.94
Nd1 0.170 0.339 0.340  0.00
Nd2 0.830 0.661 0.660  0.00
Sr1 0.500 0.000 0.000  0.01